Record 1
CsRbIrC2 after structural relaxation, computed with PBE-GGA. Values from VASP.

```
&SYSTEM
  ibrav = 0, nat = 5, ntyp = 4
/
ATOMIC_SPECIES
Cs 132.91 Cs.upf
Rb 85.47 Rb.upf
Ir 192.22 Ir.upf
C 12.01 C.upf
CELL_PARAMETERS angstrom
5.6938 0.0000 0.0000
-2.8469 4.9310 0.0000
0.0000 0.0000 5.1590
ATOMIC_POSITIONS angstrom
Cs 0.0000 0.0000 0.0000
Rb 2.8469 1.6437 2.3334
Ir 0.0000 3.2873 3.7404
C 0.0000 3.2873 0.5086
C 0.0000 3.2873 1.8158
```

Results
Crystal system: trigonal
Total moment: 0.0001 μB per atom
E_tot: -27.9 eV/cell

***

Record 2
Cs3NaRe6C6S8N6 after structural relaxation, computed with PBE-GGA. Values from VASP.

```
&SYSTEM
  ibrav = 0, nat = 60, ntyp = 6
/
ATOMIC_SPECIES
Cs 132.91 Cs.upf
Na 22.99 Na.upf
Re 186.21 Re.upf
C 12.01 C.upf
S 32.06 S.upf
N 14.01 N.upf
CELL_PARAMETERS angstrom
11.2837 0.0000 0.0000
0.0000 8.9437 0.0000
0.0000 0.0000 13.1095
ATOMIC_POSITIONS angstrom
Cs 0.0000 0.0000 0.0000
Cs 2.8209 3.8101 3.2774
Cs 2.8209 5.1336 9.8322
Cs 5.6419 0.0000 6.5548
Cs 8.4628 3.8101 3.2774
Cs 8.4628 5.1336 9.8322
Na 0.0000 4.4719 0.0000
Na 5.6419 4.4719 6.5548
Re 0.0000 0.7174 4.8385
Re 0.0000 8.2263 8.2710
Re 1.3131 1.2110 7.0557
Re 1.3131 7.7327 6.0539
Re 4.3287 1.2110 12.6086
Re 4.3287 7.7327 0.5009
Re 5.6419 0.7174 1.7163
Re 5.6419 8.2263 11.3933
Re 6.9550 1.2110 12.6086
Re 6.9550 7.7327 0.5009
Re 9.9706 1.2110 7.0557
Re 9.9706 7.7327 6.0539
C 0.0000 1.7392 2.9977
C 0.0000 7.2046 10.1118
C 2.7450 2.5052 12.1728
C 2.7450 6.4386 0.9368
C 2.8969 2.5052 7.4915
C 2.8969 6.4386 5.6180
C 5.6419 1.7392 3.5571
C 5.6419 7.2046 9.5525
C 8.3868 2.5052 7.4915
C 8.3868 6.4386 5.6180
C 8.5388 2.5052 12.1728
C 8.5388 6.4386 0.9368
S 0.0000 1.5870 9.0673
S 0.0000 2.8938 5.9105
S 0.0000 6.0500 7.1990
S 0.0000 7.3568 4.0422
S 2.4137 0.6421 4.9686
S 2.4137 8.3017 8.1410
S 3.2281 0.6421 1.5862
S 3.2281 8.3017 11.5233
S 5.6419 1.5870 10.5970
S 5.6419 2.8938 0.6443
S 5.6419 6.0500 12.4653
S 5.6419 7.3568 2.5126
S 8.0556 0.6421 1.5862
S 8.0556 8.3017 11.5233
S 8.8700 0.6421 4.9686
S 8.8700 8.3017 8.1410
N 0.0000 2.4452 2.0508
N 0.0000 6.4985 11.0587
N 1.7962 3.1891 12.0327
N 1.7962 5.7546 1.0769
N 3.8457 3.1891 7.6316
N 3.8457 5.7546 5.4779
N 5.6419 2.4452 4.5039
N 5.6419 6.4985 8.6056
N 7.4381 3.1891 7.6316
N 7.4381 5.7546 5.4779
N 9.4876 3.1891 12.0327
N 9.4876 5.7546 1.0769
```

Results
Crystal system: orthorhombic
Total moment: 0.0000 μB per atom
E_tot: -460.1 eV/cell

***

Record 3
CsNiC3N3 after structural relaxation, computed with PBE-GGA. Values from VASP.

```
&SYSTEM
  ibrav = 0, nat = 16, ntyp = 4
/
ATOMIC_SPECIES
Cs 132.91 Cs.upf
Ni 58.69 Ni.upf
C 12.01 C.upf
N 14.01 N.upf
CELL_PARAMETERS angstrom
0.0000 5.1809 5.1809
5.1809 0.0000 5.1809
5.1809 5.1809 0.0000
ATOMIC_POSITIONS angstrom
Cs 2.5904 2.5904 2.5904
Cs 7.7713 7.7713 7.7713
Ni 0.0000 0.0000 0.0000
Ni 5.1809 5.1809 5.1809
C 5.1809 5.1809 1.9723
C 5.1809 1.9723 5.1809
C 8.3895 5.1809 5.1809
C 1.9723 5.1809 5.1809
C 5.1809 8.3895 5.1809
C 5.1809 5.1809 8.3895
N 5.1809 5.1809 3.1526
N 5.1809 3.1526 5.1809
N 7.2091 5.1809 5.1809
N 3.1526 5.1809 5.1809
N 5.1809 7.2091 5.1809
N 5.1809 5.1809 7.2091
```

Results
Crystal system: cubic
Total moment: 0.0000 μB per atom
E_tot: -115.2 eV/cell

***

Record 4
CsPdC3N3 after structural relaxation, computed with PBE-GGA. Values from VASP.

```
&SYSTEM
  ibrav = 0, nat = 16, ntyp = 4
/
ATOMIC_SPECIES
Cs 132.91 Cs.upf
Pd 106.42 Pd.upf
C 12.01 C.upf
N 14.01 N.upf
CELL_PARAMETERS angstrom
0.0000 5.5096 5.5096
5.5096 0.0000 5.5096
5.5096 5.5096 0.0000
ATOMIC_POSITIONS angstrom
Cs 2.7548 2.7548 2.7548
Cs 8.2644 8.2644 8.2644
Pd 0.0000 0.0000 0.0000
Pd 5.5096 5.5096 5.5096
C 5.5096 5.5096 2.1027
C 5.5096 2.1027 5.5096
C 8.9164 5.5096 5.5096
C 2.1027 5.5096 5.5096
C 5.5096 8.9164 5.5096
C 5.5096 5.5096 8.9164
N 5.5096 5.5096 3.2816
N 5.5096 3.2816 5.5096
N 7.7376 5.5096 5.5096
N 3.2816 5.5096 5.5096
N 5.5096 7.7376 5.5096
N 5.5096 5.5096 7.7376
```

Results
Crystal system: cubic
E_tot: -112.8 eV/cell

***

Question: The lowest E_tot belongs to which entry?
Answer: Cs3NaRe6C6S8N6